Material: LiLa5Ga4
Method: DFT, PBE-GGA
State: relaxed

The structure in CIF format:
```
data_LiLa5Ga4
_chemical_formula_sum 'Li1 La5 Ga4'
_symmetry_space_group_name_H-M 'P 1'
_symmetry_Int_Tables_number 1
_symmetry_space_group_name_Hall 'P 1'
_cell_length_a 3.773
_cell_length_b 3.773
_cell_length_c 19.272
_cell_angle_alpha 90.00
_cell_angle_beta 90.00
_cell_angle_gamma 90.00
loop_
_atom_site_label
_atom_site_type_symbol
_atom_site_fract_x
_atom_site_fract_y
_atom_site_fract_z
_atom_site_occupancy
La1 La 0.500 0.500 0.113 1
Li1 Li 0.000 0.000 0.000 1
Ga1 Ga 0.000 0.000 0.402 1
La2 La 0.500 0.500 0.500 1
La3 La 0.500 0.500 0.695 1
La4 La 0.500 0.500 0.887 1
Ga2 Ga 0.000 0.000 0.797 1
Ga3 Ga 0.000 0.000 0.598 1
La5 La 0.500 0.500 0.305 1
Ga4 Ga 0.000 0.000 0.203 1
```

Calculated values
N(E_F)	0.599	states/eV/atom
DFT formation energy	-0.45	eV per atom